[1]
The following is a DFT calculation (PBE-GGA) of CrAgBr2 after structural relaxation.

E_tot: -15.87 eV for the cell shown
space-group type: Immm (71)
relative energy among the computed polymorphs: 79 meV per atom
total magnetization: 4.8 μB per formula unit
energy relative to the elements, uncorrected: -0.0124 eV per atom

Cell and atoms, written as CIF:
```
data_CrAgBr2
_chemical_formula_sum 'Cr1 Ag1 Br2'
_symmetry_space_group_name_H-M 'P 1'
_symmetry_Int_Tables_number 1
_symmetry_space_group_name_Hall 'P 1'
_cell_length_a 5.608
_cell_length_b 5.608
_cell_length_c 5.608
_cell_angle_alpha 139.61
_cell_angle_beta 103.87
_cell_angle_gamma 89.92
loop_
_atom_site_label
_atom_site_fract_x
_atom_site_fract_y
_atom_site_fract_z
Ag1 0.250 0.750 0.500
Br1 0.980 0.980 0.000
Br2 0.520 0.520 0.000
Cr1 0.750 0.250 0.500
```



[2]
The following is a DFT calculation (PBE-GGA) of Pm4PrSm2 after structural relaxation.

ΔH_f (0 K): 92 meV/atom
E_tot: -32.58 eV for the cell shown
space-group type: Immm (71)
relative energy among the computed polymorphs: 0 meV per atom
total magnetization: 0.0 μB per formula unit

Cell and atoms, written as CIF:
```
data_Pm4PrSm2
_chemical_formula_sum 'Pm4 Pr1 Sm2'
_symmetry_space_group_name_H-M 'P 1'
_symmetry_Int_Tables_number 1
_symmetry_space_group_name_Hall 'P 1'
_cell_length_a 3.585
_cell_length_b 5.885
_cell_length_c 12.114
_cell_angle_alpha 104.07
_cell_angle_beta 98.51
_cell_angle_gamma 90.00
loop_
_atom_site_label
_atom_site_fract_x
_atom_site_fract_y
_atom_site_fract_z
Pm1 0.085 0.586 0.170
Pm2 0.915 0.414 0.830
Pm3 0.363 0.862 0.725
Pm4 0.637 0.138 0.275
Pr1 0.000 0.000 0.000
Sm1 0.276 0.276 0.551
Sm2 0.724 0.724 0.449
```



[3]
The following is a DFT calculation (PBE-GGA) of PmTmCdGa after structural relaxation.

ΔH_f (0 K): -427 meV/atom
E_tot: -14.87 eV for the cell shown
space-group type: F-43m (216)
relative energy among the computed polymorphs: 24 meV per atom
total magnetization: 0.0 μB per formula unit

Cell and atoms, written as CIF:
```
data_PmTmCdGa
_chemical_formula_sum 'Pm1 Tm1 Cd1 Ga1'
_symmetry_space_group_name_H-M 'P 1'
_symmetry_Int_Tables_number 1
_symmetry_space_group_name_Hall 'P 1'
_cell_length_a 5.213
_cell_length_b 5.213
_cell_length_c 5.213
_cell_angle_alpha 60.00
_cell_angle_beta 60.00
_cell_angle_gamma 60.00
loop_
_atom_site_label
_atom_site_fract_x
_atom_site_fract_y
_atom_site_fract_z
Cd1 0.750 0.750 0.750
Tm1 0.000 0.000 0.000
Ga1 0.250 0.250 0.250
Pm1 0.500 0.500 0.500
```



[4]
The following is a DFT calculation (PBE-GGA) of KTcSb2 after structural relaxation.

E_tot: -18.76 eV for the cell shown
space-group type: Immm (71)
relative energy among the computed polymorphs: 383 meV per atom
total magnetization: 0.0 μB per formula unit
energy relative to the elements, uncorrected: 0.2374 eV per atom

Cell and atoms, written as CIF:
```
data_KTcSb2
_chemical_formula_sum 'K1 Tc1 Sb2'
_symmetry_space_group_name_H-M 'P 1'
_symmetry_Int_Tables_number 1
_symmetry_space_group_name_Hall 'P 1'
_cell_length_a 6.569
_cell_length_b 6.569
_cell_length_c 6.569
_cell_angle_alpha 152.07
_cell_angle_beta 119.76
_cell_angle_gamma 67.67
loop_
_atom_site_label
_atom_site_fract_x
_atom_site_fract_y
_atom_site_fract_z
K1 0.250 0.750 0.500
Sb1 0.944 0.944 0.000
Sb2 0.556 0.556 0.000
Tc1 0.750 0.250 0.500
```



[5]
The following is a DFT calculation (PBE-GGA) of AlTe2Pt after structural relaxation.

E_tot: -17.30 eV for the cell shown
space-group type: R3m (160)
total magnetization: 0.0 μB per formula unit
energy relative to the elements, uncorrected: -0.3085 eV per atom

Cell and atoms, written as CIF:
```
data_AlTe2Pt
_chemical_formula_sum 'Al1 Te2 Pt1'
_symmetry_space_group_name_H-M 'P 1'
_symmetry_Int_Tables_number 1
_symmetry_space_group_name_Hall 'P 1'
_cell_length_a 6.934
_cell_length_b 6.934
_cell_length_c 6.934
_cell_angle_alpha 34.50
_cell_angle_beta 34.50
_cell_angle_gamma 34.50
loop_
_atom_site_label
_atom_site_fract_x
_atom_site_fract_y
_atom_site_fract_z
Te1 0.027 0.027 0.027
Te2 0.231 0.231 0.231
Al1 0.484 0.484 0.484
Pt1 0.758 0.758 0.758
```



[6]
The following is a DFT calculation (PBE-GGA) of Ce4SI5 after structural relaxation.

E_tot: -49.10 eV for the cell shown
space-group type: C2/m (12)
total magnetization: 4.6 μB per formula unit
energy relative to the elements, uncorrected: -1.3489 eV per atom

Cell and atoms, written as CIF:
```
data_Ce4SI5
_chemical_formula_sum 'Ce4 S1 I5'
_symmetry_space_group_name_H-M 'P 1'
_symmetry_Int_Tables_number 1
_symmetry_space_group_name_Hall 'P 1'
_cell_length_a 4.186
_cell_length_b 8.948
_cell_length_c 9.826
_cell_angle_alpha 102.67
_cell_angle_beta 102.30
_cell_angle_gamma 90.00
loop_
_atom_site_label
_atom_site_fract_x
_atom_site_fract_y
_atom_site_fract_z
Ce1 0.353 0.929 0.707
Ce2 0.002 0.794 0.004
Ce3 0.647 0.071 0.293
Ce4 0.998 0.206 0.996
S1 0.500 0.000 0.000
I1 0.834 0.655 0.668
I2 0.827 0.185 0.654
I3 0.173 0.815 0.346
I4 0.500 0.500 0.000
I5 0.166 0.345 0.332
```



[7]
The following is a DFT calculation (PBE-GGA) of RuPt2 after structural relaxation.

ΔH_f (0 K): 103 meV/atom
E_tot: -42.10 eV for the cell shown
space-group type: P6_3/mmc (194)
total magnetization: 0.0 μB per formula unit

Cell and atoms, written as CIF:
```
data_RuPt2
_chemical_formula_sum 'Ru2 Pt4'
_symmetry_space_group_name_H-M 'P 1'
_symmetry_Int_Tables_number 1
_symmetry_space_group_name_Hall 'P 1'
_cell_length_a 2.748
_cell_length_b 2.748
_cell_length_c 14.235
_cell_angle_alpha 90.00
_cell_angle_beta 90.00
_cell_angle_gamma 120.00
loop_
_atom_site_label
_atom_site_fract_x
_atom_site_fract_y
_atom_site_fract_z
Ru1 0.333 0.667 0.250
Ru2 0.667 0.333 0.750
Pt1 0.000 0.000 0.406
Pt2 0.000 0.000 0.906
Pt3 0.000 0.000 0.594
Pt4 0.000 0.000 0.094
```



[8]
The following is a DFT calculation (PBE-GGA) of SrLaC2O6 after structural relaxation.

E_tot: -152.03 eV for the cell shown
space-group type: C2/c (15)
total magnetization: 0.9 μB per formula unit
energy relative to the elements, uncorrected: -2.1211 eV per atom

Cell and atoms, written as CIF:
```
data_SrLaC2O6
_chemical_formula_sum 'Sr2 La2 C4 O12'
_symmetry_space_group_name_H-M 'P 1'
_symmetry_Int_Tables_number 1
_symmetry_space_group_name_Hall 'P 1'
_cell_length_a 6.572
_cell_length_b 6.572
_cell_length_c 6.982
_cell_angle_alpha 104.95
_cell_angle_beta 104.95
_cell_angle_gamma 96.49
loop_
_atom_site_label
_atom_site_fract_x
_atom_site_fract_y
_atom_site_fract_z
Sr1 0.144 0.856 0.250
Sr2 0.856 0.144 0.750
La1 0.605 0.395 0.250
La2 0.395 0.605 0.750
C1 0.342 0.131 0.725
C2 0.869 0.658 0.775
C3 0.658 0.869 0.275
C4 0.131 0.342 0.225
O1 0.933 0.365 0.147
O2 0.635 0.067 0.353
O3 0.067 0.635 0.853
O4 0.365 0.933 0.647
O5 0.208 0.187 0.120
O6 0.813 0.792 0.380
O7 0.792 0.813 0.880
O8 0.187 0.208 0.620
O9 0.273 0.510 0.365
O10 0.490 0.727 0.135
O11 0.727 0.490 0.635
O12 0.510 0.273 0.865
```